PBE-GGA CoNiCl2, optimized geometry; raw total energy = -16.52 eV/f.u.; N(E_F) = 4.1 states/eV per cell; energy relative to the elements, uncorrected = 0.06 eV/f.u.; ΔE to the lowest computed polymorph = 168 meV/atom; spin magnetization = 3.00 μB per cell
1.0
1.7242 0.9955 7.0485
-1.7242 0.9955 7.0485
0.0000 -1.9909 7.0485
Co Ni Cl
1 1 2
Direct
0.0000 0.0000 0.0000
0.5000 0.5000 0.5000
0.3988 0.3988 0.3988
0.6012 0.6012 0.6012